# 1
## As2W (PBEsol)

Data for a relaxed structure of As2W.

Geometry as extended XYZ:
```
3
Lattice="4.6878 0.0000 0.0000 -2.3439 4.0598 0.0000 0.0000 0.0000 2.6537" Properties=species:S:1:pos:R:3 pbc="T T T"
As 0.0000 2.7065 0.1080
As 2.3439 1.3533 2.5457
W 0.0000 0.0000 0.0000
```

The formation energy comes out at 410 meV per atom. As for the density: 11.0 Mg/m³.

# 2
## As3W2 (PBEsol)

Data for a relaxed structure of As3W2.

Geometry as extended XYZ:
```
10
Lattice="6.6439 -1.6294 0.0000 6.6439 1.6294 0.0000 -5.4142 0.0000 7.8790" Properties=species:S:1:pos:R:3 pbc="T T T"
As -0.5931 0.0000 2.4606
As -0.1504 0.0000 7.5076
As 3.2393 0.0000 2.9118
As 4.6344 0.0000 4.9672
As 8.0240 0.0000 0.3714
As 8.4667 0.0000 5.4184
W -2.6856 0.0000 6.8619
W -0.0368 0.0000 4.9446
W 7.9104 0.0000 2.9344
W 10.5593 0.0000 1.0171
```

The formation energy comes out at -119 meV per atom. As for the density: 11.5 Mg/m³.

# 3
## AsW (PBEsol)

Data for a relaxed structure of AsW.

Geometry as extended XYZ:
```
4
Lattice="3.2444 0.0000 0.0000 0.0000 3.2444 0.0000 0.0000 0.0000 5.8633" Properties=species:S:1:pos:R:3 pbc="T T T"
As 0.8111 0.8111 0.8732
As 2.4333 2.4333 4.9901
W 0.8111 0.8111 3.8611
W 2.4333 2.4333 2.0022
```

The formation energy comes out at 55 meV per atom. As for the density: 13.9 Mg/m³.

# 4
## AsW (PBEsol)

Data for a relaxed structure of AsW.

Geometry as extended XYZ:
```
4
Lattice="4.3852 -1.5939 0.0000 4.3852 1.5939 0.0000 -1.3243 0.0000 4.3713" Properties=species:S:1:pos:R:3 pbc="T T T"
As 0.6129 0.0000 1.4352
As 6.8332 0.0000 2.9361
W 3.0888 0.0000 0.7919
W 4.3573 0.0000 3.5794
```

The formation energy comes out at 67 meV per atom. As for the density: 14.1 Mg/m³.

# 5
## As2W (PBEsol)

Data for a relaxed structure of As2W.

Geometry as extended XYZ:
```
6
Lattice="5.3659 -1.6131 0.0000 5.3659 1.6131 0.0000 -2.5483 0.0000 6.1683" Properties=species:S:1:pos:R:3 pbc="T T T"
As -0.2453 0.0000 1.5484
As 2.4696 0.0000 1.9251
As 5.7139 0.0000 4.2432
As 8.4288 0.0000 4.6199
W 1.3790 0.0000 6.0422
W 6.8045 0.0000 0.1262
```

The formation energy comes out at 16 meV per atom. As for the density: 10.4 Mg/m³.

# 6
## As3W (PBEsol)

Data for a relaxed structure of As3W.

Geometry as extended XYZ:
```
4
Lattice="1.6572 -2.2820 0.0000 1.6572 2.2820 0.0000 0.0000 0.0000 9.3371" Properties=species:S:1:pos:R:3 pbc="T T T"
As 0.0000 0.0000 0.0000
As 1.6572 0.0000 2.6304
As 1.6572 0.0000 6.7067
W 0.0000 0.0000 4.6685
```

The formation energy comes out at 402 meV per atom. As for the energy above the most stable polymorph in this dataset: 1.2 kJ/mol of atoms. As for the density: 9.6 Mg/m³.

# 7
## As2W (PBEsol)

Data for a relaxed structure of As2W.

Geometry as extended XYZ:
```
3
Lattice="3.2252 0.0000 0.0000 -1.6126 2.7931 0.0000 0.0000 0.0000 5.7175" Properties=species:S:1:pos:R:3 pbc="T T T"
As 0.0000 1.8620 1.7408
As 1.6126 0.9310 3.9767
W 0.0000 0.0000 0.0000
```

The formation energy comes out at 21 meV per atom. As for the density: 10.8 Mg/m³.

# 8
## AsW (PBEsol)

Data for a relaxed structure of AsW.

Geometry as extended XYZ:
```
4
Lattice="3.0569 0.0000 0.0000 -1.5285 2.6474 0.0000 0.0000 0.0000 7.6973" Properties=species:S:1:pos:R:3 pbc="T T T"
As 0.0000 0.0000 0.0000
As 0.0000 0.0000 3.8486
W 0.0000 1.7649 1.9243
W 1.5285 0.8825 5.7729
```

The formation energy comes out at 342 meV per atom. As for the density: 13.8 Mg/m³.

# 9
## As2W (PBEsol)

Data for a relaxed structure of As2W.

Geometry as extended XYZ:
```
3
Lattice="-1.5512 1.5512 5.4713 1.5512 -1.5512 5.4713 1.5512 1.5512 -5.4713" Properties=species:S:1:pos:R:3 pbc="T T T"
As 0.0000 0.0000 1.4898
As 0.0000 0.0000 9.4528
W 0.0000 0.0000 5.4713
```

The formation energy comes out at 181 meV per atom. As for the density: 10.5 Mg/m³.

# 10
## As2W (PBEsol)

Data for a relaxed structure of As2W.

Geometry as extended XYZ:
```
6
Lattice="5.6854 0.0000 0.0000 0.0000 6.4588 0.0000 0.0000 0.0000 3.0184" Properties=species:S:1:pos:R:3 pbc="T T T"
As 1.0373 0.8792 0.0000
As 1.8054 4.1086 1.5092
As 3.8800 2.3502 1.5092
As 4.6481 5.5796 0.0000
W 0.0000 3.2294 0.0000
W 2.8427 0.0000 1.5092
```

The formation energy comes out at 123 meV per atom. As for the density: 10.0 Mg/m³.

# 11
## As3W (PBEsol)

Data for a relaxed structure of As3W.

Geometry as extended XYZ:
```
4
Lattice="-1.5748 2.0570 5.7085 1.5748 -2.0570 5.7085 1.5748 2.0570 -5.7085" Properties=species:S:1:pos:R:3 pbc="T T T"
As 0.0000 0.0000 0.0000
As 1.5748 0.0000 3.5868
As 0.0000 2.0570 2.1217
W 0.0000 0.0000 5.7085
```

The formation energy comes out at 390 meV per atom. As for the energy above the most stable polymorph in this dataset: 0.0 kJ/mol of atoms. As for the density: 9.2 Mg/m³.

# 12
## AsW (PBEsol)

Data for a relaxed structure of AsW.

Geometry as extended XYZ:
```
2
Lattice="1.5582 -2.5118 0.0000 1.5582 2.5118 0.0000 0.0000 0.0000 4.0669" Properties=species:S:1:pos:R:3 pbc="T T T"
As 0.0000 0.0000 0.0000
W 1.5582 0.0000 2.0335
```

The formation energy comes out at 594 meV per atom. As for the density: 13.5 Mg/m³.